The following is a GGA-PBE calculation of a relaxed structure of Pm2NbGaN5, from Alexandria via LeMat-Bulk.

abc: 3.2952 13.9582 10.2063
angles: 90.00 90.00 90.00
Space group Cmc2_1 (No. 36)
Symmetry-distinct sites (fractional):
Pm 0.0000 0.1138 0.0000 x4
Pm 0.0000 0.1293 0.5870 x4
Nb 0.0000 0.2204 0.3007 x4
Ga 0.0000 0.4853 0.7729 x4
N 0.0000 0.0575 0.3478 x4
N 0.0000 0.2871 0.9425 x4
N 0.0000 0.3012 0.6704 x4
N 0.0000 0.3626 0.3020 x4
N 0.0000 0.4992 0.5828 x4

V = 13.040 A^3/atom
uncorrected formation energy = -0.852 eV/atom